Record 1
K12O5F3 PBE relaxed; VASP energy = -287.90 eV per cell; ΔE_f (raw) = -28.401 eV/f.u.
1.0
-8.0042 8.0042 8.0042
8.0042 -8.0042 8.0042
8.0042 8.0042 -8.0042
K O F
48 20 12
Direct
0.0344 0.2118 0.1238 K
0.0344 0.3227 0.9106 K
0.0880 0.7118 0.6773 K
0.0880 0.8762 0.4106 K
0.0894 0.6238 0.4120 K
0.0894 0.9656 0.6773 K
0.1238 0.0344 0.2118 K
0.1238 0.5894 0.9120 K
0.1773 0.2118 0.5880 K
0.1773 0.4656 0.5894 K
0.2118 0.1238 0.0344 K
0.2118 0.5880 0.1773 K
0.2882 0.3227 0.9120 K
0.2882 0.4656 0.3762 K
0.3227 0.9106 0.0344 K
0.3227 0.9120 0.2882 K
0.3762 0.2882 0.4656 K
0.3762 0.5880 0.9106 K
0.4106 0.0880 0.8762 K
0.4106 0.8227 0.5344 K
0.4120 0.0894 0.6238 K
0.4120 0.8227 0.7882 K
0.4656 0.3762 0.2882 K
0.4656 0.5894 0.1773 K
0.5344 0.4106 0.8227 K
0.5344 0.6238 0.7118 K
0.5880 0.1773 0.2118 K
0.5880 0.9106 0.3762 K
0.5894 0.1773 0.4656 K
0.5894 0.9120 0.1238 K
0.6238 0.4120 0.0894 K
0.6238 0.7118 0.5344 K
0.6773 0.0880 0.7118 K
0.6773 0.0894 0.9656 K
0.7118 0.5344 0.6238 K
0.7118 0.6773 0.0880 K
0.7882 0.4120 0.8227 K
0.7882 0.8762 0.9656 K
0.8227 0.5344 0.4106 K
0.8227 0.7882 0.4120 K
0.8762 0.4106 0.0880 K
0.8762 0.9656 0.7882 K
0.9106 0.0344 0.3227 K
0.9106 0.3762 0.5880 K
0.9120 0.1238 0.5894 K
0.9120 0.2882 0.3227 K
0.9656 0.6773 0.0894 K
0.9656 0.7882 0.8762 K
0.0000 0.0000 0.0000 O
0.0000 0.0000 0.5000 O
0.0000 0.5000 0.0000 O
0.0000 0.5000 0.5000 O
0.1250 0.7500 0.8750 O
0.1250 0.8750 0.2500 O
0.2500 0.1250 0.8750 O
0.2500 0.6250 0.3750 O
0.3750 0.2500 0.6250 O
0.3750 0.6250 0.7500 O
0.5000 0.0000 0.0000 O
0.5000 0.0000 0.5000 O
0.5000 0.5000 0.0000 O
0.5000 0.5000 0.5000 O
0.6250 0.3750 0.2500 O
0.6250 0.7500 0.3750 O
0.7500 0.3750 0.6250 O
0.7500 0.8750 0.1250 O
0.8750 0.1250 0.7500 O
0.8750 0.2500 0.1250 O
0.1250 0.2500 0.3750 F
0.1250 0.3750 0.7500 F
0.2500 0.3750 0.1250 F
0.2500 0.8750 0.6250 F
0.3750 0.1250 0.2500 F
0.3750 0.7500 0.1250 F
0.6250 0.2500 0.8750 F
0.6250 0.8750 0.7500 F
0.7500 0.1250 0.3750 F
0.7500 0.6250 0.8750 F
0.8750 0.6250 0.2500 F
0.8750 0.7500 0.6250 F

Record 2
Nb6CrMo PBE relaxed; E_form = -0.10 eV/f.u.; VASP energy = -80.97 eV per cell
1.0
-2.2837 2.2837 6.5710
2.2837 -2.2837 6.5710
2.2837 2.2837 -6.5710
Nb Cr Mo
6 1 1
Direct
0.1190 0.6190 0.5000 Nb
0.2484 0.2484 0.0000 Nb
0.3810 0.8810 0.5000 Nb
0.6190 0.1190 0.5000 Nb
0.7516 0.7516 0.0000 Nb
0.8810 0.3810 0.5000 Nb
0.0000 0.0000 0.0000 Cr
0.5000 0.5000 0.0000 Mo